Record 1
First-principles (meta-GGA SCAN) data for a PBEsol-optimized structure of Sr3TiMn, as listed in the Alexandria database.

a b c (Å): 5.7979 5.7979 5.7979
angles (deg): 90.00 90.00 90.00
With the nearest neighbours (Å) after each atom.
Positions (direct):
Sr (0.0000, 0.0000, 0.5000)  2 Ti 2.90
Sr (0.0000, 0.5000, 0.0000)  2 Ti 2.90
Sr (0.5000, 0.0000, 0.0000)  2 Ti 2.90
Ti (0.0000, 0.0000, 0.0000)  6 Sr 2.90
Mn (0.5000, 0.5000, 0.5000)  12 Sr 4.10

Properties
ΔE_f ... 1032.9 meV per atom
Size of the total moment ... 7.29 Bohr magnetons per cell
Final energy ... -95.95 eV per cell
Calculated density ... 3.1 Mg/m³
Volume ... 194.90 Å³ per cell


Record 2
First-principles (meta-GGA SCAN) data for a PBEsol-optimized structure of CsMoPRu2, as listed in the Alexandria database.

a b c (Å): 4.6066 4.6066 5.5112
angles (deg): 90.00 90.00 90.00
With the nearest neighbours (Å) after each atom.
Positions (direct):
Cs (0.0000, 0.0000, 0.0000)  2 Mo 2.76
Mo (0.0000, 0.0000, 0.5000)  4 Ru 2.30
P (0.5000, 0.5000, 0.0000)  4 Cs 3.26, 8 Ru 3.59
Ru (0.0000, 0.5000, 0.5000)  2 Mo 2.30
Ru (0.5000, 0.0000, 0.5000)  2 Mo 2.30

Properties
ΔE_f ... 2008.6 meV per atom
Size of the total moment ... 0.84 Bohr magnetons per cell
Final energy ... -142.70 eV per cell
Calculated density ... 6.6 Mg/m³
Volume ... 116.95 Å³ per cell


Record 3
First-principles (meta-GGA SCAN) data for a PBEsol-optimized structure of Al3IrBr, as listed in the Alexandria database.

a b c (Å): 4.6992 4.6992 4.6992
angles (deg): 90.00 90.00 90.00
With the nearest neighbours (Å) after each atom.
Positions (direct):
Al (0.0000, 0.0000, 0.5000)  2 Br 2.35
Al (0.0000, 0.5000, 0.0000)  2 Br 2.35
Al (0.5000, 0.0000, 0.0000)  2 Br 2.35
Ir (0.5000, 0.5000, 0.5000)  12 Al 3.32
Br (0.0000, 0.0000, 0.0000)  6 Al 2.35

Properties
Size of the total moment ... 0.00 Bohr magnetons per cell
Formation energy without anion corrections ... 1.5072 eV/atom
Final energy ... -106.28 eV per cell
Calculated density ... 5.6 Mg/m³
Volume ... 103.77 Å³ per cell


Record 4
First-principles (meta-GGA SCAN) data for a PBEsol-optimized structure of Li15Si4, as listed in the Alexandria database.

a b c (Å): 9.1001 9.1001 9.1001
angles (deg): 109.47 109.47 109.47
With the nearest neighbours (Å) after each atom.
Positions (direct):
Li (0.0332, 0.6189, 0.3420)  3 Si 2.60-2.77, 5 Li 2.63-2.80
Li (0.0857, 0.3088, 0.9668)  3 Si 2.60-2.77, 5 Li 2.63-2.80
Li (0.1189, 0.5332, 0.8420)  3 Si 2.60-2.77, 5 Li 2.63-2.80
Li (0.1250, 0.8750, 0.2500)  8 Li 2.70-2.78, 4 Si 2.84
Li (0.1580, 0.7769, 0.6912)  3 Si 2.60-2.77, 5 Li 2.63-2.80
Li (0.1912, 0.2769, 0.6580)  3 Si 2.60-2.77, 5 Li 2.63-2.80
Li (0.2231, 0.4143, 0.3811)  3 Si 2.60-2.77, 5 Li 2.63-2.80
Li (0.2500, 0.1250, 0.8750)  8 Li 2.70-2.78, 4 Si 2.84
Li (0.2769, 0.6580, 0.1912)  3 Si 2.60-2.77, 5 Li 2.63-2.80
Li (0.3088, 0.9668, 0.0857)  3 Si 2.60-2.77, 5 Li 2.63-2.80
Li (0.3420, 0.0332, 0.6189)  3 Si 2.60-2.77, 5 Li 2.63-2.80
Li (0.3750, 0.6250, 0.7500)  8 Li 2.70-2.78, 4 Si 2.84
Li (0.3811, 0.2231, 0.4143)  3 Si 2.60-2.77, 5 Li 2.63-2.80
Li (0.4143, 0.3811, 0.2231)  3 Si 2.60-2.77, 5 Li 2.63-2.80
Li (0.4668, 0.8088, 0.5857)  3 Si 2.60-2.77, 5 Li 2.63-2.80
Li (0.5332, 0.8420, 0.1189)  3 Si 2.60-2.77, 5 Li 2.63-2.80
Li (0.5857, 0.4668, 0.8088)  3 Si 2.60-2.77, 5 Li 2.63-2.80
Li (0.6189, 0.3420, 0.0332)  3 Si 2.60-2.77, 5 Li 2.63-2.80
Li (0.6250, 0.7500, 0.3750)  8 Li 2.70-2.78, 4 Si 2.84
Li (0.6580, 0.1912, 0.2769)  3 Si 2.60-2.77, 5 Li 2.63-2.80
Li (0.6912, 0.1580, 0.7769)  3 Si 2.60-2.77, 5 Li 2.63-2.80
Li (0.7231, 0.8811, 0.9143)  3 Si 2.60-2.77, 5 Li 2.63-2.80
Li (0.7500, 0.3750, 0.6250)  8 Li 2.70-2.78, 4 Si 2.84
Li (0.7769, 0.6912, 0.1580)  3 Si 2.60-2.77, 5 Li 2.63-2.80
Li (0.8088, 0.5857, 0.4668)  3 Si 2.60-2.77, 5 Li 2.63-2.80
Li (0.8420, 0.1189, 0.5332)  3 Si 2.60-2.77, 5 Li 2.63-2.80
Li (0.8750, 0.2500, 0.1250)  8 Li 2.70-2.78, 4 Si 2.84
Li (0.8811, 0.9143, 0.7231)  3 Si 2.60-2.77, 5 Li 2.63-2.80
Li (0.9143, 0.7231, 0.8811)  3 Si 2.60-2.77, 5 Li 2.63-2.80
Li (0.9668, 0.0857, 0.3088)  3 Si 2.60-2.77, 5 Li 2.63-2.80
Si (0.0000, 0.4157, 0.5000)  12 Li 2.60-2.84
Si (0.0000, 0.9157, 0.5000)  12 Li 2.60-2.84
Si (0.0843, 0.0843, 0.0843)  12 Li 2.60-2.84
Si (0.4157, 0.5000, 0.0000)  12 Li 2.60-2.84
Si (0.5000, 0.0000, 0.4157)  12 Li 2.60-2.84
Si (0.5000, 0.0000, 0.9157)  12 Li 2.60-2.84
Si (0.5843, 0.5843, 0.5843)  12 Li 2.60-2.84
Si (0.9157, 0.5000, 0.0000)  12 Li 2.60-2.84

Properties
Size of the total moment ... 0.00 Bohr magnetons per cell
Formation energy without anion corrections ... -0.2443 eV/atom
Final energy ... -161.10 eV per cell
Calculated density ... 1.2 Mg/m³
Volume ... 580.11 Å³ per cell


Record 5
First-principles (meta-GGA SCAN) data for a PBEsol-optimized structure of K2ReRu, as listed in the Alexandria database.

a b c (Å): 2.6501 5.7412 5.1283
angles (deg): 90.00 101.36 90.00
With the nearest neighbours (Å) after each atom.
Positions (direct):
K (0.2203, 0.0000, 0.2541)  4 K 2.64-2.66
K (0.7797, 0.0000, 0.7459)  4 K 2.64-2.66
Re (0.5000, 0.5000, 0.0000)  2 Ru 2.64, 2 Re 2.65
Ru (0.0000, 0.5000, 0.5000)  2 Re 2.64, 2 Ru 2.65

Properties
ΔE_f ... 1317.6 meV per atom
Size of the total moment ... 0.00 Bohr magnetons per cell
Final energy ... -117.31 eV per cell
Calculated density ... 7.9 Mg/m³
Volume ... 76.50 Å³ per cell


Record 6
First-principles (meta-GGA SCAN) data for a PBEsol-optimized structure of Al3CrTc, as listed in the Alexandria database.

a b c (Å): 4.6577 4.6577 4.6577
angles (deg): 90.00 90.00 90.00
With the nearest neighbours (Å) after each atom.
Positions (direct):
Al (0.0000, 0.0000, 0.5000)  2 Tc 2.33
Al (0.0000, 0.5000, 0.0000)  2 Tc 2.33
Al (0.5000, 0.0000, 0.0000)  2 Tc 2.33
Cr (0.5000, 0.5000, 0.5000)  12 Al 3.29
Tc (0.0000, 0.0000, 0.0000)  6 Al 2.33

Properties
ΔE_f ... 306.0 meV per atom
Size of the total moment ... 4.44 Bohr magnetons per cell
Final energy ... -75.17 eV per cell
Calculated density ... 3.8 Mg/m³
Volume ... 101.05 Å³ per cell


Record 7
First-principles (meta-GGA SCAN) data for a PBEsol-optimized structure of CsBe3Ni, as listed in the Alexandria database.

a b c (Å): 4.4229 4.4229 4.4229
angles (deg): 90.00 90.00 90.00
With the nearest neighbours (Å) after each atom.
Positions (direct):
Cs (0.0000, 0.0000, 0.0000)  12 Be 3.13
Be (0.0000, 0.5000, 0.5000)  2 Ni 2.21
Be (0.5000, 0.0000, 0.5000)  2 Ni 2.21
Be (0.5000, 0.5000, 0.0000)  2 Ni 2.21
Ni (0.5000, 0.5000, 0.5000)  6 Be 2.21

Properties
ΔE_f ... 782.7 meV per atom
Size of the total moment ... 0.00 Bohr magnetons per cell
Final energy ... -63.13 eV per cell
Calculated density ... 4.2 Mg/m³
Volume ... 86.52 Å³ per cell


Record 8
First-principles (meta-GGA SCAN) data for a PBEsol-optimized structure of LaZnIr, as listed in the Alexandria database.

a b c (Å): 6.5202 6.5202 6.5202
angles (deg): 90.00 90.00 90.00
With the nearest neighbours (Å) after each atom.
Positions (direct):
La (0.0000, 0.0000, 0.0000)  4 Ir 2.82
La (0.0000, 0.5000, 0.5000)  4 Ir 2.82
La (0.5000, 0.0000, 0.5000)  4 Ir 2.82
La (0.5000, 0.5000, 0.0000)  4 Ir 2.82
Zn (0.0000, 0.0000, 0.5000)  4 Ir 2.82
Zn (0.0000, 0.5000, 0.0000)  4 Ir 2.82
Zn (0.5000, 0.0000, 0.0000)  4 Ir 2.82
Zn (0.5000, 0.5000, 0.5000)  4 Ir 2.82
Ir (0.2500, 0.2500, 0.2500)  4 Zn 2.82, 4 La 2.82
Ir (0.2500, 0.7500, 0.7500)  4 La 2.82, 4 Zn 2.82
Ir (0.7500, 0.2500, 0.7500)  4 La 2.82, 4 Zn 2.82
Ir (0.7500, 0.7500, 0.2500)  4 La 2.82, 4 Zn 2.82

Properties
ΔE_f ... -480.8 meV per atom
Size of the total moment ... 0.00 Bohr magnetons per cell
Final energy ... -516.65 eV per cell
Calculated density ... 9.5 Mg/m³
Volume ... 277.19 Å³ per cell


Record 9
First-principles (meta-GGA SCAN) data for a PBEsol-optimized structure of NaSbAsAu2, as listed in the Alexandria database.

a b c (Å): 4.8265 4.8265 4.9160
angles (deg): 90.00 90.00 90.00
With the nearest neighbours (Å) after each atom.
Positions (direct):
Na (0.0000, 0.0000, 0.0000)  4 Au 2.41, 2 As 2.46
Sb (0.5000, 0.5000, 0.5000)  4 As 3.41, 8 Au 3.44
As (0.0000, 0.0000, 0.5000)  2 Na 2.46
Au (0.0000, 0.5000, 0.0000)  2 Na 2.41
Au (0.5000, 0.0000, 0.0000)  2 Na 2.41

Properties
Size of the total moment ... 0.00 Bohr magnetons per cell
Formation energy without anion corrections ... 0.8861 eV/atom
Final energy ... -195.55 eV per cell
Calculated density ... 8.9 Mg/m³
Volume ... 114.52 Å³ per cell


Record 10
First-principles (meta-GGA SCAN) data for a PBEsol-optimized structure of TeP2Os, as listed in the Alexandria database.

a b c (Å): 7.0778 2.9431 7.8455
angles (deg): 90.00 104.26 90.00
With the nearest neighbours (Å) after each atom.
Positions (direct):
Te (0.0000, 0.0000, 0.0000)  2 P 2.68, 2 Te 2.94
Te (0.5000, 0.5000, 0.0000)  2 P 2.68, 2 Te 2.94
P (0.1648, 0.0000, 0.3466)  3 Os 2.38
P (0.3352, 0.5000, 0.6534)  3 Os 2.38
P (0.6648, 0.5000, 0.3466)  3 Os 2.38
P (0.8352, 0.0000, 0.6534)  3 Os 2.38
Os (0.0000, 0.5000, 0.5000)  6 P 2.38
Os (0.5000, 0.0000, 0.5000)  6 P 2.38

Properties
Size of the total moment ... 0.00 Bohr magnetons per cell
Formation energy without anion corrections ... 0.0020 eV/atom
Energy above the most stable polymorph in this dataset ... 0 meV per atom
Final energy ... -259.84 eV per cell
Calculated density ... 8.0 Mg/m³
Volume ... 158.39 Å³ per cell


Record 11
First-principles (meta-GGA SCAN) data for a PBEsol-optimized structure of TlCoTc2, as listed in the Alexandria database.

a b c (Å): 2.9563 2.9563 6.8775
angles (deg): 90.00 90.00 90.00
With the nearest neighbours (Å) after each atom.
Positions (direct):
Tl (0.0000, 0.0000, 0.0000)  4 Co 2.76, 4 Tl 2.96, 4 Tc 2.99
Co (0.5000, 0.5000, 0.2612)  4 Tc 2.57, 4 Tl 2.76
Tc (0.0000, 0.0000, 0.4784)  4 Tc 2.55, 4 Co 2.57
Tc (0.5000, 0.5000, 0.6901)  4 Tc 2.55

Properties
ΔE_f ... 342.0 meV per atom
Size of the total moment ... 2.19 Bohr magnetons per cell
Energy above the most stable polymorph in this dataset ... 0 meV per atom
Final energy ... -158.41 eV per cell
Calculated density ... 12.7 Mg/m³
Volume ... 60.11 Å³ per cell


Record 12
First-principles (meta-GGA SCAN) data for a PBEsol-optimized structure of Li8Nd7Ge10, as listed in the Alexandria database.

a b c (Å): 16.9018 16.9018 4.3847
angles (deg): 90.00 90.00 156.77
With the nearest neighbours (Å) after each atom.
Positions (direct):
Li (0.0446, 0.3310, 0.0000)  4 Ge 2.54-2.68, 1 Li 2.56
Li (0.2346, 0.3849, 0.5000)  1 Li 2.59, 4 Ge 2.62-2.71
Li (0.3310, 0.0446, 0.0000)  4 Ge 2.54-2.68, 1 Li 2.56
Li (0.3849, 0.2346, 0.5000)  1 Li 2.59, 4 Ge 2.62-2.71
Li (0.6151, 0.7654, 0.5000)  1 Li 2.59, 4 Ge 2.62-2.71
Li (0.6690, 0.9554, 0.0000)  4 Ge 2.54-2.68, 1 Li 2.56
Li (0.7654, 0.6151, 0.5000)  1 Li 2.59, 4 Ge 2.62-2.71
Li (0.9554, 0.6690, 0.0000)  4 Ge 2.54-2.68, 1 Li 2.56
Nd (0.0572, 0.9428, 0.0000)  6 Li 3.10-3.12, 6 Ge 3.16-3.18
Nd (0.2212, 0.7788, 0.5000)  9 Ge 3.08-3.29
Nd (0.3389, 0.6611, 0.5000)  6 Ge 3.09-3.13, 6 Li 3.11-3.13
Nd (0.5000, 0.5000, 0.0000)  6 Ge 3.06-3.10
Nd (0.6611, 0.3389, 0.5000)  6 Ge 3.09-3.13, 6 Li 3.11-3.13
Nd (0.7788, 0.2212, 0.5000)  9 Ge 3.08-3.29
Nd (0.9428, 0.0572, 0.0000)  6 Li 3.10-3.12, 6 Ge 3.16-3.18
Ge (0.1012, 0.5315, 0.0000)  2 Ge 2.48-2.50, 1 Li 2.54
Ge (0.1267, 0.8733, 0.5000)  6 Li 2.60-2.71
Ge (0.1856, 0.1856, 0.5000)  1 Ge 2.53, 2 Li 2.63
Ge (0.4062, 0.5938, 0.0000)  6 Li 2.62-2.68
Ge (0.4685, 0.8988, 0.0000)  2 Ge 2.48-2.50, 1 Li 2.54
Ge (0.5315, 0.1012, 0.0000)  2 Ge 2.48-2.50, 1 Li 2.54
Ge (0.5938, 0.4062, 0.0000)  6 Li 2.62-2.68
Ge (0.8144, 0.8144, 0.5000)  1 Ge 2.53, 2 Li 2.63
Ge (0.8733, 0.1267, 0.5000)  6 Li 2.60-2.71
Ge (0.8988, 0.4685, 0.0000)  2 Ge 2.48-2.50, 1 Li 2.54

Properties
ΔE_f ... -755.0 meV per atom
Size of the total moment ... 0.00 Bohr magnetons per cell
Final energy ... -533.95 eV per cell
Calculated density ... 6.0 Mg/m³
Volume ... 494.08 Å³ per cell